Record 1
Material: PmSmYZn
Method: DFT, GGA-PBE
State: relaxed Values from VASP.

Quantum ESPRESSO input file:
```
&SYSTEM
  ibrav = 0, nat = 4, ntyp = 4
/
ATOMIC_SPECIES
Pm 145.00 Pm.upf
Sm 150.36 Sm.upf
Y 88.91 Y.upf
Zn 65.41 Zn.upf
CELL_PARAMETERS angstrom
0.000 3.831 3.831
3.831 0.000 3.831
3.831 3.831 0.000
ATOMIC_POSITIONS crystal
Pm 0.000 0.000 0.000
Sm 0.750 0.750 0.750
Y 0.250 0.250 0.250
Zn 0.500 0.500 0.500
```

The total moment is 0.001 Bohr magnetons per cell. The formation energy is 0.0756 eV/atom.


Record 2
Material: MnPbW
Method: DFT, GGA-PBE
State: relaxed Values from VASP.

Quantum ESPRESSO input file:
```
&SYSTEM
  ibrav = 0, nat = 3, ntyp = 3
/
ATOMIC_SPECIES
Mn 54.94 Mn.upf
Pb 207.20 Pb.upf
W 183.84 W.upf
CELL_PARAMETERS angstrom
0.000 3.038 3.038
3.038 0.000 3.038
3.038 3.038 0.000
ATOMIC_POSITIONS crystal
Mn 0.000 0.000 0.000
Pb 0.250 0.250 0.250
W 0.750 0.750 0.750
```

The total moment is 1.000 Bohr magnetons per cell. The formation energy is 0.7243 eV/atom.


Record 3
Material: LaCo2P
Method: DFT, GGA-PBE
State: relaxed Values from VASP.

Quantum ESPRESSO input file:
```
&SYSTEM
  ibrav = 0, nat = 4, ntyp = 3
/
ATOMIC_SPECIES
La 138.91 La.upf
Co 58.93 Co.upf
P 30.97 P.upf
CELL_PARAMETERS angstrom
2.912 0.000 0.000
0.000 2.912 0.000
0.000 0.000 7.041
ATOMIC_POSITIONS crystal
La 0.000 0.000 0.000
Co 0.500 0.500 0.328
Co 0.500 0.500 0.672
P 0.000 0.000 0.500
```

The total moment is 0.725 Bohr magnetons per cell. The formation energy is -0.0498 eV/atom.


Record 4
Material: La9CeSm2
Method: DFT, GGA-PBE
State: relaxed Values from VASP.

Quantum ESPRESSO input file:
```
&SYSTEM
  ibrav = 0, nat = 12, ntyp = 3
/
ATOMIC_SPECIES
La 138.91 La.upf
Ce 140.12 Ce.upf
Sm 150.36 Sm.upf
CELL_PARAMETERS angstrom
5.210 0.000 0.000
0.000 5.210 0.000
0.000 0.000 15.636
ATOMIC_POSITIONS crystal
La 0.000 0.000 0.000
La 0.000 0.000 0.333
La 0.000 0.000 0.667
La 0.000 0.500 0.162
La 0.000 0.500 0.500
La 0.000 0.500 0.838
La 0.500 0.000 0.162
La 0.500 0.000 0.500
La 0.500 0.000 0.838
Ce 0.500 0.500 0.000
Sm 0.500 0.500 0.333
Sm 0.500 0.500 0.667
```

The total moment is 1.121 Bohr magnetons per cell. The formation energy is 0.0249 eV/atom.


Record 5
Material: BaHCl
Method: DFT, GGA-PBE
State: relaxed Values from VASP.

Quantum ESPRESSO input file:
```
&SYSTEM
  ibrav = 0, nat = 6, ntyp = 3
/
ATOMIC_SPECIES
Ba 137.33 Ba.upf
H 1.01 H.upf
Cl 35.45 Cl.upf
CELL_PARAMETERS angstrom
2.129 -8.892 0.000
2.129 8.892 0.000
0.000 0.000 4.304
ATOMIC_POSITIONS crystal
Ba 0.160 0.840 0.750
Ba 0.840 0.160 0.250
H 0.250 0.750 0.250
H 0.750 0.250 0.750
Cl 0.402 0.598 0.750
Cl 0.598 0.402 0.250
```

The total moment is 0.062 Bohr magnetons per cell. The calculation puts the total energy at -3.9001 eV per atom.


Record 6
Material: BaSr6Cd2
Method: DFT, GGA-PBE
State: relaxed Values from VASP.

Quantum ESPRESSO input file:
```
&SYSTEM
  ibrav = 0, nat = 9, ntyp = 3
/
ATOMIC_SPECIES
Ba 137.33 Ba.upf
Sr 87.62 Sr.upf
Cd 112.41 Cd.upf
CELL_PARAMETERS angstrom
5.753 0.000 0.000
0.000 5.753 0.000
0.000 0.000 13.038
ATOMIC_POSITIONS crystal
Ba 0.000 0.000 0.000
Sr 0.000 0.000 0.500
Sr 0.000 0.500 0.255
Sr 0.000 0.500 0.745
Sr 0.500 0.000 0.255
Sr 0.500 0.000 0.745
Sr 0.500 0.500 0.500
Cd 0.500 0.500 0.108
Cd 0.500 0.500 0.892
```

The total moment is 0.000 Bohr magnetons per cell. The formation energy is -0.0832 eV/atom.


Record 7
Material: Hf2PtS
Method: DFT, GGA-PBE
State: relaxed Values from VASP.

Quantum ESPRESSO input file:
```
&SYSTEM
  ibrav = 0, nat = 4, ntyp = 3
/
ATOMIC_SPECIES
Hf 178.49 Hf.upf
Pt 195.08 Pt.upf
S 32.06 S.upf
CELL_PARAMETERS angstrom
1.574 0.909 8.974
-1.574 0.909 8.974
0.000 -1.817 8.974
ATOMIC_POSITIONS crystal
Hf 0.096 0.096 0.096
Hf 0.904 0.904 0.904
Pt 0.000 0.000 0.000
S 0.500 0.500 0.500
```

The total moment is 0.000 Bohr magnetons per cell. As for the uncorrected formation energy: -0.396 eV per atom.


Record 8
Material: Nd4YHo4
Method: DFT, GGA-PBE
State: relaxed Values from VASP.

Quantum ESPRESSO input file:
```
&SYSTEM
  ibrav = 0, nat = 9, ntyp = 3
/
ATOMIC_SPECIES
Nd 144.24 Nd.upf
Y 88.91 Y.upf
Ho 164.93 Ho.upf
CELL_PARAMETERS angstrom
5.665 0.000 0.000
0.009 6.764 0.000
2.815 3.318 7.832
ATOMIC_POSITIONS crystal
Nd 0.134 0.309 0.233
Nd 0.280 0.844 0.940
Nd 0.720 0.156 0.060
Nd 0.866 0.691 0.767
Y 0.500 0.000 0.500
Ho 0.072 0.767 0.357
Ho 0.377 0.424 0.745
Ho 0.623 0.576 0.255
Ho 0.928 0.233 0.643
```

The total moment is 0.000 Bohr magnetons per cell. The formation energy is 0.1038 eV/atom.